Compound: TlCoPS2
Source: Alexandria via LeMat-Bulk
Functional: GGA-PBEsol
Structure: optimized geometry

Its space group is P4/mmm, No. 123. Its total energy is -16.77 eV/cell.

abc: 4.953 5.017 5.017
angles: 90.00 90.00 90.00
Atoms (fractional coordinates):
Co: 0.500 0.500 0.500
P: 0.500 0.000 0.000
Tl: 0.000 0.000 0.000
S: 0.000 0.000 0.500
S: 0.000 0.500 0.000

Compound: SrSi4Hg
Source: Alexandria via LeMat-Bulk
Functional: GGA-PBEsol
Structure: optimized geometry

Its space group is F-43m, No. 216. Its total energy is -25.35 eV/cell.

abc: 5.416 5.416 5.416
angles: 60.00 60.00 60.00
Atoms (fractional coordinates):
Sr: 0.750 0.750 0.750
Si: 0.373 0.373 0.373
Si: 0.373 0.880 0.373
Si: 0.373 0.373 0.880
Si: 0.880 0.373 0.373
Hg: 0.000 0.000 0.000

Compound: PrAlPt
Source: Alexandria via LeMat-Bulk
Functional: GGA-PBEsol
Structure: optimized geometry

The formation energy is -294 kJ/mol of formula units. Its space group is Pnma, No. 62.

abc: 4.455 7.155 7.781
angles: 90.00 90.00 90.00
Atoms (fractional coordinates):
Pt: 0.250 0.285 0.611
Pt: 0.750 0.715 0.389
Pt: 0.250 0.785 0.889
Pt: 0.750 0.215 0.111
Al: 0.250 0.146 0.932
Al: 0.750 0.854 0.068
Al: 0.250 0.646 0.568
Al: 0.750 0.354 0.432
Pr: 0.250 0.529 0.181
Pr: 0.750 0.971 0.681
Pr: 0.750 0.471 0.819
Pr: 0.250 0.029 0.319

Result set for magnetic moment: 3.54; 0.00; 0.00 μB/cell, one per record in the order listed.